Ba8As5H (GGA-PBE, optimized geometry); calculated volume = 36.05 Å³ per atom; ρ = 4.9 Mg/m³; raw total energy = -4.01 eV/atom; space-group type = I-4
1.0
-3.676 6.792 -3.977
6.937 -2.631 -4.518
-5.783 -6.463 0.507
Ba As H
8 5 1
Cartesian
4.690 -1.187 -3.870 Ba
-7.127 1.648 -4.086 Ba
-3.130 2.042 -3.856 Ba
-4.818 -2.353 -3.793 Ba
0.965 0.098 -4.683 Ba
-1.226 -3.747 -6.041 Ba
-1.380 -1.317 -1.979 Ba
1.940 -4.390 -3.643 Ba
1.854 -1.747 -1.660 As
1.455 2.005 -7.338 As
-2.076 -0.634 -5.484 As
-4.729 0.165 -1.735 As
-6.277 -4.226 -1.494 As
-1.787 -4.464 -2.873 H